The following is a PBE with a Hubbard U calculation of an optimized crystal structure of ScCr2AgH4O10, from the Alexandria database.

Lattice parameters (Å, degrees): 5.700 6.329 7.162 109.30 91.64 115.52
Positions (direct):
Cr1 0.365 0.771 0.680
O1 0.379 0.702 0.442
O2 0.796 0.607 0.946
O3 0.322 0.040 0.182
O4 0.833 0.081 0.259
O5 0.204 0.393 0.054
Ag1 0.000 0.000 0.500
O6 0.167 0.919 0.741
O7 0.621 0.298 0.558
H1 0.230 0.468 0.949
H2 0.770 0.532 0.051
Cr2 0.635 0.229 0.320
O8 0.678 0.960 0.818
H3 0.725 0.473 0.807
O9 0.235 0.510 0.724
Sc1 0.000 0.000 0.000
H4 0.275 0.527 0.193
O10 0.765 0.490 0.276

size of the total moment	0.0	μB/f.u.
N(E_F)	0.00	states/eV/atom
polymorph energy (0 for the lowest one)	0.000	eV/atom